A relaxed structure of TlSb2Ru, computed with PBE-GGA.

Values from the calculation:
offset from the most stable computed form: 231 kJ/mol of formula units

Cell: 5.0290 5.0290 5.0290 Å, 60.00 60.00 60.00°
Element x y z (fractional)
Ru (0.5000, 0.5000, 0.5000)
Sb (0.0000, 0.0000, 0.0000)
Sb (0.2500, 0.2500, 0.2500)
Tl (0.7500, 0.7500, 0.7500)

A relaxed structure of Tl2SbRu, computed with PBE-GGA.

Values from the calculation:
offset from the most stable computed form: 43 kJ/mol of formula units

Cell: 7.3128 7.3128 7.3128 Å, 154.71 142.80 45.51°
Element x y z (fractional)
Ru (0.4848, 0.4848, 0.0000)
Sb (0.3273, 0.8273, 0.5000)
Tl (0.0031, 0.0031, 0.0000)
Tl (0.6848, 0.1848, 0.5000)

A relaxed structure of TlSb2Ru2, computed with PBE-GGA.

Values from the calculation:
offset from the most stable computed form: 58 kJ/mol of formula units

Cell: 4.6060 4.6060 6.1904 Å, 68.16 68.16 90.00°
Element x y z (fractional)
Sb (0.7500, 0.2500, 0.5000)
Sb (0.2500, 0.7500, 0.5000)
Tl (0.0000, 0.0000, 0.0000)
Ru (0.3840, 0.3840, 0.2319)
Ru (0.6160, 0.6160, 0.7681)

A relaxed structure of TlSb2Ru, computed with PBE-GGA.

Values from the calculation:
offset from the most stable computed form: 204 kJ/mol of formula units

Cell: 7.0117 5.1824 3.5750 Å, 89.86 59.59 120.13°
Element x y z (fractional)
Ru (0.5000, 0.5000, 0.0000)
Sb (0.0000, 0.0000, 0.0000)
Sb (0.5000, 0.0000, 0.5000)
Tl (0.0000, 0.5000, 0.5000)

A relaxed structure of TlSb2Ru2, computed with PBE-GGA.

Values from the calculation:
offset from the most stable computed form: 0 kJ/mol of formula units

Cell: 7.9540 7.9540 3.1342 Å, 90.00 90.00 90.00°
Element x y z (fractional)
Sb (0.1472, 0.6472, 0.5000)
Sb (0.6472, 0.8528, 0.5000)
Sb (0.8528, 0.3528, 0.5000)
Sb (0.3528, 0.1472, 0.5000)
Tl (0.0000, 0.0000, 0.0000)
Tl (0.5000, 0.5000, 0.0000)
Ru (0.3613, 0.8613, 0.0000)
Ru (0.8613, 0.6387, 0.0000)
Ru (0.6387, 0.1387, 0.0000)
Ru (0.1387, 0.3613, 0.0000)

A relaxed structure of Tl2SbRu, computed with PBE-GGA.

Values from the calculation:
offset from the most stable computed form: 165 kJ/mol of formula units

Cell: 9.7731 9.7731 9.7731 Å, 19.90 19.90 19.90°
Last column: magnetic moment on the atom in μB.
Element x y z (fractional)
Ru (0.2500, 0.2500, 0.2500)  0.33
Sb (0.7500, 0.7500, 0.7500)  0.00
Tl (0.9875, 0.9875, 0.9875)  0.00
Tl (0.5125, 0.5125, 0.5125)  0.00

A relaxed structure of Tl2SbRu, computed with PBE-GGA.

Values from the calculation:
offset from the most stable computed form: 211 kJ/mol of formula units

Cell: 6.1049 6.1049 6.1049 Å, 139.46 139.46 58.67°
Last column: magnetic moment on the atom in μB.
Element x y z (fractional)
Ru (0.2500, 0.7500, 0.5000)  1.17
Sb (0.7500, 0.2500, 0.5000)  0.03
Tl (0.0000, 0.0000, 0.0000)  0.02
Tl (0.5000, 0.5000, 0.0000)  0.02

A relaxed structure of TlSb4Ru, computed with PBE-GGA.

Cell: 6.2057 6.2057 6.2057 Å, 60.00 60.00 60.00°
Last column: magnetic moment on the atom in μB.
Element x y z (fractional)
Tl (0.7500, 0.7500, 0.7500)  0.00
Sb (0.8760, 0.3747, 0.3747)  0.04
Sb (0.3747, 0.3747, 0.8760)  0.04
Sb (0.3747, 0.8760, 0.3747)  0.04
Sb (0.3747, 0.3747, 0.3747)  0.04
Ru (0.0000, 0.0000, 0.0000)  2.20

A relaxed structure of Tl2SbRu, computed with PBE-GGA.

Values from the calculation:
offset from the most stable computed form: 197 kJ/mol of formula units

Cell: 3.4958 5.0531 5.1979 Å, 90.00 90.00 90.00°
Element x y z (fractional)
Ru (0.5000, 0.0000, 0.5000)
Sb (0.0000, 0.5000, 0.5000)
Tl (0.0000, 0.0000, 0.0000)
Tl (0.5000, 0.5000, 0.0000)

A relaxed structure of Tl2SbRu, computed with PBE-GGA.

Values from the calculation:
offset from the most stable computed form: 18 kJ/mol of formula units

Cell: 3.3989 3.3989 9.8302 Å, 81.64 81.64 67.50°
Element x y z (fractional)
Ru (0.4380, 0.4380, 0.4887)
Sb (0.1267, 0.1267, 0.3223)
Tl (0.2030, 0.2030, 0.9889)
Tl (0.7323, 0.7323, 0.7000)

A relaxed structure of Tl2SbRu, computed with PBE-GGA.

Values from the calculation:
offset from the most stable computed form: 0 kJ/mol of formula units

Cell: 3.2650 3.2650 9.0724 Å, 90.00 90.00 89.99°
Element x y z (fractional)
Ru (0.0000, 0.0000, 0.5206)
Sb (0.5000, 0.5000, 0.6793)
Tl (0.0000, 0.0000, 0.9994)
Tl (0.5000, 0.5000, 0.3008)

A relaxed structure of Tl4SbRu, computed with PBE-GGA.

Cell: 6.2000 6.2000 6.2000 Å, 60.00 60.00 60.00°
Last column: magnetic moment on the atom in μB.
Element x y z (fractional)
Tl (0.3753, 0.8742, 0.3753)  -0.01
Tl (0.8742, 0.3753, 0.3753)  -0.01
Tl (0.3753, 0.3753, 0.8742)  -0.01
Tl (0.3753, 0.3753, 0.3753)  -0.01
Sb (0.0000, 0.0000, 0.0000)  0.01
Ru (0.7500, 0.7500, 0.7500)  2.00

A relaxed structure of TlSb2Ru, computed with PBE-GGA.

Values from the calculation:
offset from the most stable computed form: 0 kJ/mol of formula units

Cell: 3.2941 3.2961 9.3545 Å, 68.74 90.00 90.00°
Last column: magnetic moment on the atom in μB.
Element x y z (fractional)
Ru (0.5000, 0.7500, 0.7500)  0.67
Sb (0.0000, 0.0586, 0.9367)  0.01
Sb (0.0000, 0.4414, 0.5633)  0.01
Tl (0.5000, 0.2500, 0.2500)  0.01

A relaxed structure of TlSb2Ru, computed with PBE-GGA.

Values from the calculation:
offset from the most stable computed form: 81 kJ/mol of formula units

Cell: 3.2186 3.2186 8.9983 Å, 90.00 90.00 90.00°
Element x y z (fractional)
Ru (0.5000, 0.5000, 0.7712)
Sb (0.0000, 0.0000, 0.9361)
Sb (0.5000, 0.5000, 0.2441)
Tl (0.0000, 0.0000, 0.5486)

A relaxed structure of TlSb2Ru, computed with PBE-GGA.

Values from the calculation:
offset from the most stable computed form: 96 kJ/mol of formula units

Cell: 9.7618 9.7618 9.7618 Å, 19.97 19.97 19.97°
Element x y z (fractional)
Ru (0.7445, 0.7445, 0.7445)
Sb (0.0171, 0.0171, 0.0171)
Sb (0.2514, 0.2514, 0.2514)
Tl (0.4870, 0.4870, 0.4870)

A relaxed structure of Tl2SbRu, computed with PBE-GGA.

Values from the calculation:
offset from the most stable computed form: 153 kJ/mol of formula units

Cell: 3.2457 3.2457 8.9658 Å, 90.00 90.00 89.82°
Element x y z (fractional)
Ru (0.5000, 0.5000, 0.2500)
Sb (0.5000, 0.5000, 0.7500)
Tl (0.0000, 0.0000, 0.0564)
Tl (0.0000, 0.0000, 0.4436)

A relaxed structure of TlSb3Ru, computed with PBE-GGA.

Values from the calculation:
offset from the most stable computed form: 0 kJ/mol of formula units

Cell: 5.2198 5.2198 5.2198 Å, 90.00 90.00 90.00°
Element x y z (fractional)
Sb (0.0000, 0.5000, 0.0000)
Sb (0.0000, 0.0000, 0.5000)
Sb (0.5000, 0.0000, 0.0000)
Tl (0.5000, 0.5000, 0.5000)
Ru (0.0000, 0.0000, 0.0000)

A relaxed structure of TlSb2Ru, computed with PBE-GGA.

Values from the calculation:
offset from the most stable computed form: 129 kJ/mol of formula units

Cell: 4.6840 4.0919 5.5344 Å, 70.27 90.00 90.00°
Element x y z (fractional)
Ru (0.5000, 0.9012, 0.7792)
Sb (0.0000, 0.8250, 0.0176)
Sb (0.5000, 0.2501, 0.1281)
Tl (0.0000, 0.5236, 0.5752)

A relaxed structure of YTlSbRu2, computed with PBE-GGA.

Cell: 4.8732 4.8732 5.4371 Å, 90.00 90.00 90.00°
Element x y z (fractional)
Y (0.5000, 0.5000, 0.5000)
Sb (0.0000, 0.0000, 0.0000)
Tl (0.0000, 0.0000, 0.5000)
Ru (0.0000, 0.5000, 0.0000)
Ru (0.5000, 0.0000, 0.0000)

A relaxed structure of Tm2SbRu, computed with PBE-GGA.

Values from the calculation:
offset from the most stable computed form: 37 kJ/mol of formula units

Cell: 3.8596 4.7854 4.7854 Å, 90.00 90.00 90.00°
Element x y z (fractional)
Sb (0.5000, 0.5000, 0.5000)
Tm (0.0000, 0.0000, 0.5000)
Tm (0.0000, 0.5000, 0.0000)
Ru (0.5000, 0.0000, 0.0000)

A relaxed structure of Tm6SbRu2, computed with PBE-GGA.

Cell: 8.3828 8.3828 8.3828 Å, 103.77 113.05 111.75°
Element x y z (fractional)
Tm (0.5322, 0.8200, 0.7122)
Tm (0.4678, 0.1800, 0.2878)
Tm (0.1077, 0.8200, 0.2878)
Tm (0.8923, 0.1800, 0.7122)
Tm (0.7916, 0.0311, 0.2396)
Tm (0.2084, 0.9689, 0.7604)
Tm (0.2084, 0.4480, 0.2396)
Tm (0.7916, 0.5520, 0.7604)
Tm (0.6869, 0.3331, 0.0200)
Tm (0.3131, 0.6669, 0.9800)
Tm (0.3131, 0.3331, 0.6463)
Tm (0.6869, 0.6669, 0.3537)
Sb (0.0000, 0.5000, 0.5000)
Sb (0.0000, 0.0000, 0.0000)
Ru (0.5000, 0.1318, 0.6318)
Ru (0.5000, 0.8682, 0.3682)
Ru (0.6721, 0.6721, 0.0000)
Ru (0.3279, 0.3279, 0.0000)

A relaxed structure of Tm3Sb2Ru, computed with PBE-GGA.

Cell: 4.3499 11.4971 11.9738 Å, 90.00 90.00 90.00°
Element x y z (fractional)
Tm (0.2500, 0.3678, 0.0544)
Tm (0.7500, 0.6322, 0.9456)
Tm (0.7500, 0.8678, 0.4456)
Tm (0.2500, 0.1322, 0.5544)
Tm (0.2500, 0.7109, 0.2445)
Tm (0.7500, 0.2891, 0.7555)
Tm (0.7500, 0.2109, 0.2555)
Tm (0.2500, 0.7891, 0.7445)
Tm (0.2500, 0.4540, 0.3796)
Tm (0.7500, 0.5460, 0.6204)
Tm (0.7500, 0.9540, 0.1204)
Tm (0.2500, 0.0460, 0.8796)
Sb (0.2500, 0.6927, 0.5064)
Sb (0.7500, 0.3073, 0.4936)
Sb (0.7500, 0.1927, 0.9936)
Sb (0.2500, 0.8073, 0.0064)
Sb (0.2500, 0.0031, 0.3151)
Sb (0.7500, 0.9969, 0.6849)
Sb (0.7500, 0.5031, 0.1849)
Sb (0.2500, 0.4969, 0.8151)
Ru (0.2500, 0.1323, 0.1241)
Ru (0.7500, 0.8677, 0.8759)
Ru (0.7500, 0.6323, 0.3759)
Ru (0.2500, 0.3677, 0.6241)

A relaxed structure of TmSbRu, computed with PBE-GGA.

Cell: 3.2948 3.2948 6.1855 Å, 105.45 105.45 90.00°
Element x y z (fractional)
Sb (0.3107, 0.3107, 0.6214)
Tm (0.5997, 0.5997, 0.1993)
Ru (0.9396, 0.9396, 0.8793)

A relaxed structure of Tm4SbRu, computed with PBE-GGA.

Values from the calculation:
offset from the most stable computed form: 0 kJ/mol of formula units

Cell: 4.1358 7.9230 18.6948 Å, 90.00 90.00 90.00°
Element x y z (fractional)
Tm (0.7500, 0.8713, 0.6427)
Tm (0.2500, 0.1287, 0.3573)
Tm (0.2500, 0.6287, 0.1427)
Tm (0.7500, 0.3713, 0.8573)
Tm (0.7500, 0.8563, 0.4519)
Tm (0.2500, 0.1437, 0.5481)
Tm (0.2500, 0.6437, 0.9519)
Tm (0.7500, 0.3563, 0.0481)
Tm (0.7500, 0.9981, 0.9341)
Tm (0.2500, 0.0019, 0.0659)
Tm (0.2500, 0.5019, 0.4341)
Tm (0.7500, 0.4981, 0.5659)
Tm (0.7500, 0.9459, 0.2117)
Tm (0.2500, 0.0541, 0.7883)
Tm (0.2500, 0.5541, 0.7117)
Tm (0.7500, 0.4459, 0.2883)
Sb (0.7500, 0.7497, 0.8076)
Sb (0.2500, 0.2503, 0.1924)
Sb (0.2500, 0.7503, 0.3076)
Sb (0.7500, 0.2497, 0.6924)
Ru (0.7500, 0.2541, 0.4435)
Ru (0.2500, 0.7459, 0.5565)
Ru (0.2500, 0.2459, 0.9435)
Ru (0.7500, 0.7541, 0.0565)

A relaxed structure of Tm5SbRu, computed with PBE-GGA.

Cell: 7.1957 7.1957 9.5420 Å, 75.56 75.56 72.40°
Element x y z (fractional)
Tm (0.8894, 0.6674, 0.1493)
Tm (0.1845, 0.6296, 0.4694)
Tm (0.6674, 0.8894, 0.6493)
Tm (0.8917, 0.1083, 0.2500)
Tm (0.3704, 0.8155, 0.0306)
Tm (0.6296, 0.1845, 0.9694)
Tm (0.1083, 0.8917, 0.7500)
Tm (0.3326, 0.1106, 0.3507)
Tm (0.8155, 0.3704, 0.5306)
Tm (0.1106, 0.3326, 0.8507)
Sb (0.5421, 0.4579, 0.2500)
Sb (0.4579, 0.5421, 0.7500)
Ru (0.0000, 0.0000, 0.0000)
Ru (0.0000, 0.0000, 0.5000)

A relaxed structure of Tm4SbRu, computed with PBE-GGA.

Values from the calculation:
offset from the most stable computed form: 108 kJ/mol of formula units

Cell: 6.7055 6.8519 7.5479 Å, 90.00 90.72 90.00°
Element x y z (fractional)
Tm (0.8463, 0.6600, 0.2120)
Tm (0.6537, 0.1600, 0.7880)
Tm (0.3345, 0.3393, 0.3593)
Tm (0.1655, 0.8393, 0.6407)
Tm (0.1537, 0.3400, 0.7880)
Tm (0.3463, 0.8400, 0.2120)
Tm (0.6655, 0.6607, 0.6407)
Tm (0.8345, 0.1607, 0.3593)
Sb (0.0000, 0.0000, 0.0000)
Sb (0.5000, 0.5000, 0.0000)
Ru (0.5000, 0.0000, 0.5000)
Ru (0.0000, 0.5000, 0.5000)

Energy relative to the elements, uncorrected / eV per atom: 0.596 0.213 0.271 0.525 0.151 0.528 0.647 0.759 0.612 0.149 0.101 0.813 -0.002 0.209 0.247 0.497 0.329 0.332 0.801 -0.536 -0.518 -0.816 -0.430 -0.609 -0.201 -0.423
Calculated total energy / eV per formula unit: -17.5 -17.3 -27.8 -17.8 -28.4 -16.0 -15.5 -23.6 -15.7 -17.5 -17.7 -18.0 -19.9 -19.1 -18.9 -16.1 -22.4 -18.6 -27.5 -24.5 -54.2 -35.8 -19.2 -34.9 -37.2 -33.8